[1]
Below is KScCo after structural relaxation, with properties calculated at the PBE level.

- SG: P3m1 (156)
- Energy of formation: 0.565 eV per atom

Cell: 3.4370 3.4370 7.6927 Å, 90.00 90.00 120.00°
Each line ends with the local moment (μB).
Sites, in units of the cell vectors:
Co 0.0000 0.0000 0.9553  0.86
K 0.6667 0.3333 0.2854  0.00
Sc 0.3333 0.6667 0.7593  -0.12



[2]
Below is La2InCo after structural relaxation, with properties calculated at the PBE level.

- SG: Pm (6)
- Energy of formation: -0.218 eV per atom

Cell: 3.8735 5.0671 6.0660 Å, 65.29 90.00 90.00°
Sites, in units of the cell vectors:
Co 0.0000 0.7352 0.4061
In 0.5000 0.5625 0.7495
La 0.0000 0.9429 0.9885
La 0.5000 0.2595 0.3559



[3]
Below is LaNdEu2 after structural relaxation, with properties calculated at the PBE level.

- SG: P4/mmm (123)
- Energy of formation: 0.092 eV per atom

Cell: 5.4065 5.3147 5.3147 Å, 90.00 90.00 90.00°
Each line ends with the local moment (μB).
Sites, in units of the cell vectors:
Eu 0.0000 0.0000 0.5000  -6.90
Eu 0.0000 0.5000 0.0000  -6.90
Nd 0.5000 0.5000 0.5000  -0.10
La 0.5000 0.0000 0.0000  -0.12



[4]
Below is CsTl3 after structural relaxation, with properties calculated at the PBE level.

- SG: Pmmn (59)
- Energy of formation: -0.081 eV per atom

Cell: 5.1125 7.0444 8.9355 Å, 90.00 90.00 90.00°
Sites, in units of the cell vectors:
Cs 0.0000 0.0000 0.4115
Cs 0.5000 0.5000 0.5885
Tl 0.5000 0.0000 0.7654
Tl 0.0000 0.7342 0.8926
Tl 0.5000 0.7658 0.1074
Tl 0.0000 0.5000 0.2346
Tl 0.0000 0.2658 0.8926
Tl 0.5000 0.2342 0.1074



[5]
Below is Ho2MgPbC after structural relaxation, with properties calculated at the PBE level.

- SG: P4/mmm (123)
- Energy of formation: -0.419 eV per atom

Cell: 4.4588 4.9293 4.9293 Å, 90.00 90.00 90.00°
Sites, in units of the cell vectors:
Ho 0.0000 0.0000 0.5000
Ho 0.0000 0.5000 0.0000
Mg 0.5000 0.0000 0.0000
Pb 0.5000 0.5000 0.5000
C 0.0000 0.0000 0.0000



[6]
Below is TlInW2 after structural relaxation, with properties calculated at the PBE level.

- SG: Cmmm (65)
- Energy of formation: 1.059 eV per atom

Cell: 5.4415 5.4415 2.8629 Å, 90.00 90.00 116.09°
Sites, in units of the cell vectors:
In 0.5000 0.0000 0.5000
Tl 0.0000 0.5000 0.5000
W 0.0000 0.0000 0.0000
W 0.5000 0.5000 0.0000



[7]
Below is LiEuTmPd after structural relaxation, with properties calculated at the PBE level.

- SG: F-43m (216)
- Energy of formation: -0.330 eV per atom

Cell: 5.0844 5.0844 5.0844 Å, 60.00 60.00 60.00°
Each line ends with the local moment (μB).
Sites, in units of the cell vectors:
Eu 0.7500 0.7500 0.7500  6.80
Tm 0.2500 0.2500 0.2500  0.08
Pd 0.5000 0.5000 0.5000  0.00
Li 0.0000 0.0000 0.0000  0.03



[8]
Below is Ca2Sn2Bi after structural relaxation, with properties calculated at the PBE level.

- SG: I4/mmm (139)
- Energy of formation: -0.123 eV per atom

Cell: 5.2721 5.2721 7.1912 Å, 68.50 68.50 90.00°
Sites, in units of the cell vectors:
Ca 0.7500 0.2500 0.5000
Ca 0.2500 0.7500 0.5000
Bi 0.0000 0.0000 0.0000
Sn 0.3910 0.3910 0.2179
Sn 0.6090 0.6090 0.7821